The following is a DFT calculation (PBE) of a relaxed GdTmTlRh crystal.

Cell: 7.2253 7.2253 7.2253 Å, 90.00 90.00 90.00°
Last column: nearest neighbours and their distance in Å.
Space group F-43m (No. 216)
Symmetry-distinct sites (fractional):
Gd 0.0000 0.0000 0.0000  4 Tl 3.13, 4 Rh 3.13
Tm 0.0000 0.0000 0.5000  4 Tl 3.13, 4 Rh 3.13
Tl 0.2500 0.2500 0.2500  4 Gd 3.13, 4 Tm 3.13
Rh 0.2500 0.2500 0.7500  4 Gd 3.13, 4 Tm 3.13

- E: -120.93 eV/cell
- Crystal system: cubic

***

The following is a DFT calculation (PBE) of a relaxed K4SbO crystal.

Cell: 8.5263 13.1525 7.4247 Å, 90.00 92.86 90.00°
Last column: nearest neighbours and their distance in Å.
Space group C2/c (No. 15)
Symmetry-distinct sites (fractional):
K 0.0824 0.1254 0.0456  2 O 2.61-2.64
K 0.2191 0.4092 0.3383  1 O 2.65
Sb 0.0000 0.3465 0.7500  8 K 3.69-3.82
O 0.0000 0.0280 0.7500  6 K 2.61-2.65

- Formation energy from raw total energies: -0.600 eV per atom
- Crystal system: monoclinic

***

The following is a DFT calculation (PBE) of a relaxed GdZnPd2 crystal.

Cell: 4.5478 4.5478 3.5725 Å, 90.00 90.00 90.00°
Last column: nearest neighbours and their distance in Å.
Space group P4/mmm (No. 123)
Symmetry-distinct sites (fractional):
Gd 0.0000 0.0000 0.0000  8 Pd 2.89, 4 Zn 3.22
Zn 0.5000 0.5000 0.0000  8 Pd 2.89, 4 Gd 3.22
Pd 0.0000 0.5000 0.5000  4 Zn 2.89, 4 Gd 2.89, 4 Pd 3.22

- E: -28.18 eV/cell
- Crystal system: tetragonal

***

The following is a DFT calculation (PBE) of a relaxed Be6Co5 crystal.

Cell: 3.6424 5.1569 10.7822 Å, 90.00 90.00 90.00°
Last column: nearest neighbours and their distance in Å.
Space group Immm (No. 71)
Symmetry-distinct sites (fractional):
Be 0.0000 0.2219 0.0000  6 Co 2.21-2.32, 1 Be 2.29
Be 0.0000 0.2677 0.3406  7 Co 2.19-2.30, 1 Be 2.40
Co 0.0000 0.0000 0.1757  8 Be 2.19-2.25
Co 0.0000 0.0000 0.5000  8 Be 2.20-2.32
Co 0.0000 0.5000 0.1580  8 Be 2.23-2.30, 2 Co 2.49

- E: -119.53 eV/cell
- Crystal system: orthorhombic

***

The following is a DFT calculation (PBE) of a relaxed NdHoTlAg crystal.

Cell: 7.5534 7.5534 7.5534 Å, 90.00 90.00 90.00°
Last column: nearest neighbours and their distance in Å.
Space group F-43m (No. 216)
Symmetry-distinct sites (fractional):
Nd 0.0000 0.0000 0.0000  4 Tl 3.27, 4 Ag 3.27
Ho 0.0000 0.0000 0.5000  4 Ag 3.27, 4 Tl 3.27
Tl 0.2500 0.2500 0.2500  4 Ho 3.27, 4 Nd 3.27
Ag 0.2500 0.2500 0.7500  4 Nd 3.27, 4 Ho 3.27

- Polymorph energy (0 for the lowest one): 11 meV/atom
- Crystal system: cubic

***

The following is a DFT calculation (PBE) of a relaxed Ho6Cd3In crystal.

Cell: 9.3442 5.2450 11.5315 Å, 90.00 106.61 90.00°
Last column: nearest neighbours and their distance in Å.
Space group P2_1/m (No. 11)
Symmetry-distinct sites (fractional):
Ho 0.0386 0.2500 0.4091  6 Cd 3.15-3.40, 2 Ho 3.47-3.50
Ho 0.1524 0.7500 0.1782  5 Cd 3.09-3.30, 1 In 3.14
Ho 0.2514 0.2500 0.0010  4 Cd 3.17-3.39, 3 In 3.26-3.34
Ho 0.3357 0.7500 0.8077  3 Cd 3.20-3.30, 3 In 3.26-3.31, 3 Ho 3.55-3.57
Ho 0.3701 0.2500 0.3299  7 Ho 3.24-3.55, 3 Cd 3.35-3.45
Ho 0.3948 0.2500 0.6163  1 In 3.10, 3 Cd 3.11-3.14, 3 Ho 3.24-3.36
Cd 0.0290 0.7500 0.8799  8 Ho 3.09-3.39
Cd 0.1185 0.2500 0.7156  8 Ho 3.11-3.40, 2 Cd 3.47
Cd 0.2742 0.7500 0.4721  8 Ho 3.14-3.45
In 0.4529 0.7500 0.1073  8 Ho 3.10-3.34

- E: -70.93 eV/cell
- Crystal system: monoclinic

***

The following is a DFT calculation (PBE) of a relaxed BaZn4Ag4 crystal.

Cell: 9.4001 9.4001 4.4894 Å, 90.00 90.00 90.00°
Last column: nearest neighbours and their distance in Å.
Space group I4/m (No. 87)
Symmetry-distinct sites (fractional):
Ba 0.0000 0.0000 0.0000  12 Zn 3.74-3.78, 4 Ag 4.05
Zn 0.1710 0.2690 0.5000  4 Ag 2.59-2.66, 2 Zn 2.71
Ag 0.0868 0.6218 0.5000  4 Zn 2.59-2.66, 1 Ag 2.81

- E: -38.63 eV/cell
- Crystal system: tetragonal

***

The following is a DFT calculation (PBE) of a relaxed MgBe2Ir crystal.

Cell: 3.9881 3.9881 15.6985 Å, 90.00 90.00 90.00°
Last column: nearest neighbours and their distance in Å.
Space group I-42d (No. 122)
Symmetry-distinct sites (fractional):
Mg 0.0000 0.0000 0.0000  4 Ir 2.82, 8 Be 2.82-3.13
Be 0.0576 0.2500 0.6250  2 Be 2.05, 2 Ir 2.21
Ir 0.0000 0.0000 0.5000  4 Be 2.21

- E: -69.73 eV/cell
- Crystal system: tetragonal

***

The following is a DFT calculation (PBE) of a relaxed Ba2SrBe crystal.

Cell: 4.4155 4.4155 35.2453 Å, 90.00 90.00 120.00°
Last column: nearest neighbours and their distance in Å.
Space group R-3m (No. 166, hexagonal axes)
Symmetry-distinct sites (fractional):
Ba 0.0000 0.0000 0.2251  3 Be 3.28
Sr 0.0000 0.0000 0.0000  6 Sr 4.42, 6 Ba 4.59
Be 0.0000 0.0000 0.5000  6 Ba 3.28

- E: -22.90 eV/cell
- Crystal system: trigonal

***

The following is a DFT calculation (PBE) of a relaxed TbPmNiGe crystal.

Cell: 7.0862 7.0862 7.0862 Å, 90.00 90.00 90.00°
Last column: nearest neighbours and their distance in Å.
Space group F-43m (No. 216)
Symmetry-distinct sites (fractional):
Tb 0.0000 0.0000 0.0000  4 Ni 3.07, 4 Ge 3.07
Pm 0.0000 0.0000 0.5000  4 Ge 3.07, 4 Ni 3.07
Ni 0.2500 0.2500 0.7500  4 Pm 3.07, 4 Tb 3.07
Ge 0.2500 0.2500 0.2500  4 Tb 3.07, 4 Pm 3.07

- E: -86.98 eV/cell
- Crystal system: cubic

***

The following is a DFT calculation (PBE) of a relaxed ZrHSI crystal.

Cell: 6.3477 3.6649 7.4796 Å, 90.00 106.53 90.00°
Last column: nearest neighbours and their distance in Å.
Space group Cm (No. 8)
Symmetry-distinct sites (fractional):
Zr 0.0000 0.0000 0.0000  3 H 2.12
H 0.3416 0.0000 0.0247  3 Zr 2.12
S 0.0951 0.5000 0.7866  3 Zr 2.61, 3 H 2.72
I 0.2677 0.5000 0.3012  3 H 2.90, 3 Zr 3.02

- E: -43.26 eV/cell
- Crystal system: monoclinic

***

The following is a DFT calculation (PBE) of a relaxed PrGa2NiRu crystal.

Cell: 4.2288 4.2288 10.1961 Å, 90.00 90.00 90.00°
Last column: nearest neighbours and their distance in Å.
Space group I-4m2 (No. 119)
Symmetry-distinct sites (fractional):
Pr 0.0000 0.0000 0.0000  8 Ga 3.27, 4 Ni 3.31, 4 Ru 3.31
Ga 0.0000 0.0000 0.3699  2 Ru 2.44, 2 Ni 2.44, 1 Ga 2.65
Ni 0.0000 0.5000 0.2500  4 Ga 2.44
Ru 0.0000 0.5000 0.7500  4 Ga 2.44

- E: -56.69 eV/cell
- Crystal system: tetragonal